(1)
20
Lattice="3.148 0.000 0.000 0.000 9.980 0.000 0.000 0.000 9.980" Properties=species:S:1:pos:R:3 comment="Sc2AlV2Ru5 (GGA-PBE, optimized geometry)" formation_enthalpy_0k_ev_per_atom=-0.34 m_tot_mub_per_fu=0.00 spacegroup="P4/mbm, No. 127" pbc="T T T"
Sc 0.000 1.701 3.289
Sc 0.000 3.289 8.279
Sc 0.000 8.279 6.691
Sc 0.000 6.691 1.701
Ru 1.574 9.306 1.979
Ru 1.574 3.011 5.665
Ru 1.574 6.969 4.316
Ru 1.574 8.001 9.306
Ru 1.574 0.675 8.001
Ru 1.574 1.979 0.675
Ru 1.574 4.316 3.011
Ru 1.574 5.665 6.969
Ru 1.574 4.990 0.000
Ru 1.574 0.000 4.990
V 0.000 1.316 6.306
V 0.000 8.664 3.674
V 0.000 6.306 8.664
V 0.000 3.674 1.316
Al 0.000 0.000 0.000
Al 0.000 4.990 4.990

---

(2)
20
Lattice="-0.186 2.784 -1.421 1.531 -4.562 -9.135 -10.192 -1.237 -1.091" Properties=species:S:1:pos:R:3 comment="Sc2AlRu5W2 (GGA-PBE, optimized geometry)" formation_enthalpy_0k_ev_per_atom=-0.12 m_tot_mub_per_fu=0.00 spacegroup="P4/mbm, No. 127" pbc="T T T"
Al 0.000 0.000 0.000
Al -4.330 -2.900 -5.113
Ru -5.308 -0.710 -4.146
Ru -6.277 -2.009 -6.562
Ru -8.453 -3.466 -9.132
Ru -2.570 -1.007 -5.084
Ru -8.253 0.125 -2.125
Ru -3.539 -2.305 -7.501
Ru -0.394 0.450 -2.515
Ru -0.593 -3.140 -9.522
Ru 0.673 -0.889 -5.278
Ru -5.189 0.773 -1.256
Sc -3.138 -1.174 -1.889
Sc -0.680 -3.249 -6.275
Sc -7.980 -2.550 -3.951
Sc -5.522 -4.625 -8.337
W -2.343 -4.362 -8.237
W -0.888 -1.812 -3.432
W -7.772 -3.987 -6.793
W -6.318 -1.437 -1.988

---

(3)
4
Lattice="-1.243 2.915 0.852 -1.352 0.294 -2.975 -5.613 -3.051 2.249" Properties=species:S:1:pos:R:3 comment="ZrScAlRu (GGA-PBE, optimized geometry)" formation_enthalpy_0k_ev_per_atom=-0.56 m_tot_mub_per_fu=0.00 spacegroup="P4mm, No. 99" pbc="T T T"
Al -1.908 1.272 -0.817
Ru -4.682 -0.235 0.295
Sc -2.106 -1.145 0.844
Zr -4.720 -2.565 1.891

---

(4)
4
Lattice="3.058 0.000 0.000 0.000 3.058 0.000 0.000 0.000 6.115" Properties=species:S:1:pos:R:3 comment="AlRu2Se (GGA-PBE, optimized geometry)" m_tot_mub_per_fu=0.00 spacegroup="P4/mmm, No. 123" e_form_raw_ev_per_atom=-0.218 pbc="T T T"
Al 1.529 1.529 4.586
Ru 0.000 0.000 3.078
Ru 0.000 0.000 6.094
Se 1.529 1.529 1.529

---

(5)
4
Lattice="3.776 -0.090 0.034 1.988 3.211 0.034 1.839 0.996 6.034" Properties=species:S:1:pos:R:3 comment="AlRuSe2 (GGA-PBE, optimized geometry)" m_tot_mub_per_fu=0.00 spacegroup="C2/m, No. 12" e_form_raw_ev_per_atom=-0.094 pbc="T T T"
Ru 1.901 1.029 1.526
Se 3.802 2.058 2.899
Se 5.764 3.121 0.221
Al 5.702 3.088 4.577

---

(6)
4
Lattice="4.568 0.011 0.013 -1.208 4.406 0.013 1.667 2.191 3.641" Properties=species:S:1:pos:R:3 comment="AlRuSe2 (GGA-PBE, optimized geometry)" m_tot_mub_per_fu=0.19 spacegroup="I4/mmm, No. 139" e_form_raw_ev_per_atom=0.143 pbc="T T T"
Ru 0.229 3.298 1.827
Se 0.000 0.000 0.000
Se 1.680 2.208 0.013
Al 3.118 1.101 1.827

---

no.,E (eV/atom)
1,-8.44
2,-8.99
3,-7.54
4,-6.66
5,-5.09
6,-4.85